Record 1
VASP calculation (GGA-PBE) on a geometry-optimized YIn2PbO structure.

Lattice parameters (Å, degrees): 4.7880 4.7880 5.1219 90.00 90.00 90.00
Sites, in units of the cell vectors:
Y1 0.0000 0.0000 0.0000
In1 0.0000 0.5000 0.5000
In2 0.5000 0.0000 0.5000
Pb1 0.5000 0.5000 0.0000
O1 0.5000 0.5000 0.5000

As for the raw formation energy: -0.436 eV/atom. Its density of states at the Fermi level is 3.3 states/eV/cell. As for the symmetry: No. 123. The calculation puts the volume at 117.42 Å³/cell.


Record 2
VASP calculation (GGA-PBE) on a geometry-optimized Ce4Pd3Pt structure.

Lattice parameters (Å, degrees): 3.8297 4.4890 11.0432 90.00 90.00 90.00
Sites, in units of the cell vectors:
Ce1 0.0000 0.0000 0.0000
Ce2 0.0000 0.5000 0.2712
Ce3 0.5000 0.0000 0.4954
Ce4 0.5000 0.5000 0.7711
Pd1 0.0000 0.0000 0.7247
Pd2 0.0000 0.5000 0.5447
Pd3 0.5000 0.5000 0.0429
Pt1 0.5000 0.0000 0.2275

Its density of states at the Fermi level is 21.3 states/eV/cell. The value obtained for the energy of formation is -778.2 meV per atom. As for the symmetry: No. 25. The calculation puts the volume at 189.85 Å³/cell.